No. 1
CsV3Te2O12 | GGA+U | optimized geometry

Lattice parameters (Å, degrees): 7.254 7.254 11.953 90.00 90.00 120.00
Fractional positions:
Cs1 0.333 0.667 0.000
Cs2 0.667 0.333 0.500
V1 0.128 0.795 0.330
V2 0.205 0.333 0.330
V3 0.333 0.128 0.830
V4 0.667 0.872 0.330
V5 0.795 0.667 0.830
V6 0.872 0.205 0.830
Te1 0.000 0.000 0.097
Te2 0.000 0.000 0.597
Te3 0.333 0.667 0.568
Te4 0.667 0.333 0.068
O1 0.084 0.543 0.311
O2 0.121 0.247 0.859
O3 0.127 0.266 0.177
O4 0.127 0.879 0.859
O5 0.139 0.873 0.177
O6 0.192 0.398 0.495
O7 0.206 0.808 0.495
O8 0.247 0.127 0.359
O9 0.266 0.139 0.677
O10 0.398 0.206 0.995
O11 0.457 0.541 0.311
O12 0.459 0.916 0.311
O13 0.541 0.084 0.811
O14 0.543 0.459 0.811
O15 0.602 0.794 0.495
O16 0.734 0.861 0.177
O17 0.753 0.873 0.859
O18 0.794 0.192 0.995
O19 0.808 0.602 0.995
O20 0.861 0.127 0.677
O21 0.873 0.121 0.359
O22 0.873 0.734 0.677
O23 0.879 0.753 0.359
O24 0.916 0.457 0.811

Calculated values
Size of the total moment, μB per atom: 0.000
Energy, eV/atom: -6.543

No. 2
CsVTeO6 | GGA+U | optimized geometry

Lattice parameters (Å, degrees): 7.199 7.199 7.199 120.70 119.32 89.99
Fractional positions:
Cs1 0.365 0.115 0.250
Cs2 0.635 0.885 0.750
V1 0.000 0.000 0.500
V2 0.000 0.500 0.000
Te1 0.000 0.500 0.500
Te2 0.500 0.500 0.000
O1 0.050 0.800 0.250
O2 0.061 0.426 0.240
O3 0.061 0.821 0.635
O4 0.315 0.179 0.740
O5 0.315 0.574 0.135
O6 0.329 0.579 0.750
O7 0.671 0.421 0.250
O8 0.685 0.426 0.865
O9 0.685 0.821 0.260
O10 0.939 0.179 0.365
O11 0.939 0.574 0.760
O12 0.950 0.200 0.750

Calculated values
Size of the total moment, μB per atom: 0.000
Energy, eV/atom: -6.089